Pm3InH after structural relaxation. Source: Alexandria via LeMat-Bulk, functional PBE-GGA. Values from VASP.

Quantum ESPRESSO input file:
```
&SYSTEM
  ibrav = 0, nat = 10, ntyp = 3
/
ATOMIC_SPECIES
Pm 145.00 Pm.upf
In 114.82 In.upf
H 1.01 H.upf
CELL_PARAMETERS angstrom
6.413 -1.849 0.000
6.413 1.849 0.000
-2.361 0.000 11.177
ATOMIC_POSITIONS crystal
Pm 0.049 0.049 0.364
Pm 0.121 0.121 0.925
Pm 0.310 0.310 0.357
Pm 0.690 0.690 0.643
Pm 0.879 0.879 0.075
Pm 0.951 0.951 0.636
In 0.366 0.366 0.841
In 0.634 0.634 0.159
H 0.102 0.102 0.566
H 0.898 0.898 0.434
```

Space group: No. 12
VASP energy: -4.399 eV/atom
Energy above the lowest structure with this stoichiometry: 0.033 eV/atom